Record 1
Material: K2CoHgSb
Method: DFT, GGA-PBEsol
State: optimized geometry

Output
spin magnetization: 1.68 μB/f.u.
uncorrected energy: -13.7 eV per formula unit
E_form (uncorrected): 0.277 eV/atom

Lattice parameters (Å, degrees): 6.607 6.607 4.709 90.00 90.00 90.00
Space group P4/mmm (No. 123)
Unique sites:
K1 0.000 0.500 0.000
Co1 0.000 0.000 0.500
Hg1 0.500 0.500 0.500
Sb1 0.000 0.000 0.000

=====

Record 2
Material: ZrTl2Cl
Method: DFT, GGA-PBEsol
State: optimized geometry

Output
polymorph energy (0 for the lowest one): 137 meV/atom
spin magnetization: 0.00 μB/f.u.
uncorrected energy: -18.2 eV per formula unit
E_form (uncorrected): -0.463 eV/atom

Lattice parameters (Å, degrees): 3.334 5.663 10.490 90.00 90.00 90.00
Space group Cmm2 (No. 35)
Unique sites:
Zr1 0.000 0.000 0.000
Tl1 0.000 0.000 0.507
Tl2 0.000 0.500 0.239
Cl1 0.000 0.500 0.815

=====

Record 3
Material: SrMnHg
Method: DFT, GGA-PBEsol
State: optimized geometry

Output
spin magnetization: 4.15 μB/f.u.
uncorrected energy: -11.0 eV per formula unit
formation energy: 1.2 eV per formula unit

Lattice parameters (Å, degrees): 7.049 7.049 7.049 90.00 90.00 90.00
Space group F-43m (No. 216)
Unique sites:
Sr1 0.000 0.000 0.000
Mn1 0.000 0.000 0.500
Hg1 0.250 0.250 0.750

=====

Record 4
Material: TlPb
Method: DFT, GGA-PBEsol
State: optimized geometry

Output
spin magnetization: 0.00 μB/f.u.
uncorrected energy: -6.6 eV per formula unit
formation energy: 0.1 eV per formula unit

Lattice parameters (Å, degrees): 9.858 10.679 6.661 90.00 90.00 90.00
Space group Pbcm (No. 57)
Unique sites:
Tl1 0.150 0.250 0.000
Tl2 0.178 0.747 0.250
Tl3 0.329 0.022 0.750
Pb1 0.010 0.501 0.750
Pb2 0.346 0.020 0.250
Pb3 0.481 0.750 0.000

=====

Record 5
Material: K2Ta3S6
Method: DFT, GGA-PBEsol
State: optimized geometry

Output
spin magnetization: 0.00 μB/f.u.
uncorrected energy: -80.4 eV per formula unit
E_form (uncorrected): -1.292 eV/atom

Lattice parameters (Å, degrees): 5.8047 5.8047 46.9894 90.00 90.00 120.00
Space group R32 (No. 155, hexagonal axes)
Unique sites:
K1 0.0000 0.0000 0.0829
K2 0.0000 0.0000 0.4163
Ta1 0.0000 0.0000 0.1665
Ta2 0.0000 0.0000 0.5000
Ta3 0.0000 0.3321 0.0000
S1 0.0003 0.6690 0.1994
S2 0.0007 0.6696 0.3007

=====

Record 6
Material: Fe2CoW
Method: DFT, GGA-PBEsol
State: optimized geometry

Output
polymorph energy (0 for the lowest one): 152 meV/atom
spin magnetization: 5.78 μB/f.u.
uncorrected energy: -39.0 eV per formula unit
formation energy: 0.5 eV per formula unit

Lattice parameters (Å, degrees): 2.845 2.845 5.928 90.00 90.00 90.00
Space group P4/mmm (No. 123)
Unique sites:
Fe1 0.000 0.000 0.228
Co1 0.500 0.500 0.000
W1 0.500 0.500 0.500

=====

Record 7
Material: MnNiAu3
Method: DFT, GGA-PBEsol
State: optimized geometry

Output
spin magnetization: 5.09 μB/f.u.
uncorrected energy: -21.2 eV per formula unit
formation energy: 6.5 eV per formula unit

Lattice parameters (Å, degrees): 4.727 4.727 4.727 90.00 90.00 90.00
Space group Pm-3m (No. 221)
Unique sites:
Mn1 0.000 0.000 0.000
Ni1 0.500 0.500 0.500
Au1 0.000 0.000 0.500

=====

Record 8
Material: NaScRe3
Method: DFT, GGA-PBEsol
State: optimized geometry

Output
spin magnetization: 0.75 μB/f.u.
uncorrected energy: -35.3 eV per formula unit
formation energy: 12.7 eV per formula unit

Lattice parameters (Å, degrees): 4.628 4.628 4.628 90.00 90.00 90.00
Space group Pm-3m (No. 221)
Unique sites:
Na1 0.000 0.000 0.000
Sc1 0.500 0.500 0.500
Re1 0.000 0.500 0.500

=====

Record 9
Material: LiLaNi
Method: DFT, GGA-PBEsol
State: optimized geometry

Output
spin magnetization: 0.00 μB/f.u.
uncorrected energy: -13.3 eV per formula unit
formation energy: 0.2 eV per formula unit

Lattice parameters (Å, degrees): 6.469 6.469 6.469 90.00 90.00 90.00
Space group F-43m (No. 216)
Unique sites:
Li1 0.000 0.000 0.000
La1 0.000 0.000 0.500
Ni1 0.250 0.250 0.750

=====

Record 10
Material: ZrSc2Co
Method: DFT, GGA-PBEsol
State: optimized geometry

Output
polymorph energy (0 for the lowest one): 23 meV/atom
spin magnetization: 0.00 μB/f.u.
uncorrected energy: -30.6 eV per formula unit
formation energy: -0.6 eV per formula unit

Lattice parameters (Å, degrees): 3.230 4.679 9.798 90.00 90.00 90.00
Space group Immm (No. 71)
Unique sites:
Zr1 0.000 0.000 0.000
Sc1 0.000 0.500 0.205
Co1 0.000 0.000 0.500

=====

Record 11
Material: MgPH16NO10
Method: DFT, GGA-PBEsol
State: optimized geometry

Output
spin magnetization: 0.00 μB/f.u.
uncorrected energy: -159.0 eV per formula unit

Lattice parameters (Å, degrees): 6.920 6.010 11.179 90.00 90.00 90.00
Space group Pmn2_1 (No. 31)
Unique sites:
Mg1 0.000 0.143 0.000
P1 0.000 0.485 0.628
H1 0.000 0.119 0.270
H2 0.000 0.249 0.409
H3 0.000 0.689 0.968
H4 0.000 0.783 0.833
H5 0.119 0.530 0.118
H6 0.122 0.000 0.382
H7 0.176 0.648 0.429
H8 0.181 0.859 0.647
H9 0.206 0.302 0.806
H10 0.248 0.888 0.134
N1 0.000 0.097 0.362
O1 0.000 0.474 0.074
O2 0.000 0.504 0.489
O3 0.000 0.720 0.686
O4 0.000 0.828 0.919
O5 0.185 0.361 0.669
O6 0.204 0.046 0.123
O7 0.226 0.249 0.891

=====

Record 12
Material: Ce2Al6CuAu
Method: DFT, GGA-PBEsol
State: optimized geometry

Output
spin magnetization: 1.37 μB/f.u.
uncorrected energy: -50.7 eV per formula unit
formation energy: -4.7 eV per formula unit

Lattice parameters (Å, degrees): 4.240 4.240 10.585 90.00 90.00 90.00
Space group P4mm (No. 99)
Unique sites:
Ce1 0.000 0.000 0.000
Ce2 0.500 0.500 0.491
Al1 0.000 0.000 0.399
Al2 0.000 0.500 0.245
Al3 0.000 0.500 0.759
Al4 0.500 0.500 0.914
Cu1 0.500 0.500 0.135
Au1 0.000 0.000 0.630

=====

Record 13
Material: TiSiSb2Te
Method: DFT, GGA-PBEsol
State: optimized geometry

Output
polymorph energy (0 for the lowest one): 219 meV/atom
spin magnetization: 1.90 μB/f.u.
uncorrected energy: -23.1 eV per formula unit
E_form (uncorrected): 0.731 eV/atom

Lattice parameters (Å, degrees): 5.054 5.054 5.201 90.00 90.00 90.00
Space group P4/mmm (No. 123)
Unique sites:
Ti1 0.000 0.000 0.000
Si1 0.500 0.500 0.500
Sb1 0.000 0.500 0.500
Te1 0.500 0.500 0.000

=====

Record 14
Material: Sr2LiSI
Method: DFT, GGA-PBEsol
State: optimized geometry

Output
spin magnetization: 0.00 μB/f.u.
uncorrected energy: -12.5 eV per formula unit
E_form (uncorrected): -0.138 eV/atom

Lattice parameters (Å, degrees): 6.270 6.270 5.363 90.00 90.00 90.00
Space group P4/mmm (No. 123)
Unique sites:
Sr1 0.000 0.500 0.000
Li1 0.000 0.000 0.500
S1 0.500 0.500 0.500
I1 0.500 0.500 0.000

=====

Record 15
Material: HfCoC2
Method: DFT, GGA-PBEsol
State: optimized geometry

Output
spin magnetization: 1.12 μB/f.u.
uncorrected energy: -35.2 eV per formula unit
formation energy: 2.3 eV per formula unit

Lattice parameters (Å, degrees): 5.370 5.370 5.370 90.00 90.00 90.00
Space group Fm-3m (No. 225)
Unique sites:
Hf1 0.000 0.000 0.000
Co1 0.000 0.000 0.500
C1 0.250 0.250 0.250

=====

Record 16
Material: InHgRu2
Method: DFT, GGA-PBEsol
State: optimized geometry

Output
polymorph energy (0 for the lowest one): 22 meV/atom
spin magnetization: 0.02 μB/f.u.
uncorrected energy: -22.2 eV per formula unit
formation energy: 1.7 eV per formula unit

Lattice parameters (Å, degrees): 4.668 2.967 5.070 90.00 110.45 90.00
Space group P2/m (No. 10)
Unique sites:
In1 0.000 0.000 0.000
Hg1 0.000 0.500 0.500
Ru1 0.500 0.000 0.500
Ru2 0.500 0.500 0.000

=====

Record 17
Material: BaBeZn2Cl
Method: DFT, GGA-PBEsol
State: optimized geometry

Output
spin magnetization: 0.00 μB/f.u.
uncorrected energy: -8.0 eV per formula unit
E_form (uncorrected): 0.662 eV/atom

Lattice parameters (Å, degrees): 6.502 6.502 5.742 90.00 90.00 90.00
Space group P4/mmm (No. 123)
Unique sites:
Ba1 0.000 0.000 0.000
Be1 0.500 0.500 0.500
Zn1 0.000 0.500 0.000
Cl1 0.000 0.000 0.500

=====

Record 18
Material: Ta2IrPt
Method: DFT, GGA-PBEsol
State: optimized geometry

Output
spin magnetization: 0.00 μB/f.u.
uncorrected energy: -44.5 eV per formula unit
formation energy: -2.6 eV per formula unit

Lattice parameters (Å, degrees): 5.618 7.932 2.817 90.00 90.00 90.00
Space group Cmmm (No. 65)
Unique sites:
Ta1 0.250 0.250 0.000
Ir1 0.000 0.000 0.500
Pt1 0.000 0.500 0.500

=====

Record 19
Material: LaSeBr2
Method: DFT, GGA-PBEsol
State: optimized geometry

Output
polymorph energy (0 for the lowest one): 0 meV/atom
spin magnetization: 0.00 μB/f.u.
uncorrected energy: -18.1 eV per formula unit
E_form (uncorrected): -1.287 eV/atom

Lattice parameters (Å, degrees): 4.513 4.513 9.586 90.00 90.00 90.00
Space group I-4m2 (No. 119)
Unique sites:
La1 0.000 0.000 0.000
Se1 0.000 0.500 0.250
Br1 0.000 0.000 0.500
Br2 0.000 0.500 0.750

=====

Record 20
Material: LiYAsBr2
Method: DFT, GGA-PBEsol
State: optimized geometry

Output
spin magnetization: 0.95 μB/f.u.
uncorrected energy: -21.8 eV per formula unit
E_form (uncorrected): -0.828 eV/atom

Lattice parameters (Å, degrees): 5.490 5.490 5.529 90.00 90.00 90.00
Space group P4/mmm (No. 123)
Unique sites:
Li1 0.000 0.000 0.000
Y1 0.500 0.500 0.500
As1 0.500 0.500 0.000
Br1 0.000 0.500 0.500

=====

Record 21
Material: Si2Sb2As
Method: DFT, GGA-PBEsol
State: optimized geometry

Output
spin magnetization: 0.00 μB/f.u.
uncorrected energy: -23.4 eV per formula unit
E_form (uncorrected): 0.473 eV/atom

Lattice parameters (Å, degrees): 7.748 7.748 3.630 90.00 90.00 90.00
Space group P4/mbm (No. 127)
Unique sites:
Si1 0.112 0.388 0.000
Sb1 0.187 0.687 0.500
As1 0.000 0.000 0.500

=====

Record 22
Material: Re2SeN2
Method: DFT, GGA-PBEsol
State: optimized geometry

Output
spin magnetization: 0.00 μB/f.u.
uncorrected energy: -45.0 eV per formula unit
E_form (uncorrected): 0.512 eV/atom

Lattice parameters (Å, degrees): 3.866 3.866 8.529 90.00 90.00 90.00
Space group I4/mmm (No. 139)
Unique sites:
Re1 0.000 0.500 0.250
Se1 0.000 0.000 0.000
N1 0.000 0.000 0.337

=====

Record 23
Material: CuHgRh2
Method: DFT, GGA-PBEsol
State: optimized geometry

Output
spin magnetization: 0.01 μB/f.u.
uncorrected energy: -20.2 eV per formula unit
formation energy: 0.9 eV per formula unit

Lattice parameters (Å, degrees): 3.874 3.874 3.884 90.00 90.00 90.00
Space group P4/mmm (No. 123)
Unique sites:
Cu1 0.000 0.000 0.000
Hg1 0.500 0.500 0.000
Rh1 0.000 0.500 0.500

=====

Record 24
Material: Ti2Zn2Hg
Method: DFT, GGA-PBEsol
State: optimized geometry

Output
spin magnetization: 0.00 μB/f.u.
uncorrected energy: -21.0 eV per formula unit
formation energy: -0.6 eV per formula unit

Lattice parameters (Å, degrees): 6.759 6.759 3.499 90.00 90.00 90.00
Space group P4/mbm (No. 127)
Unique sites:
Ti1 0.167 0.333 0.000
Zn1 0.128 0.628 0.500
Hg1 0.000 0.000 0.500